Entry A
8
Lattice="6.216 0.000 0.000 0.000 9.669 0.000 -1.048 0.000 3.047" Properties=species:S:1:pos:R:3 comment="PBE BaZr2Tc, optimized geometry" space_group="C2/m, No. 12" density_g_cm3=7.577 pbc="T T T"
Ba 0.000 0.000 0.000
Ba 3.108 4.834 0.000
Zr 1.030 2.417 1.523
Zr 1.030 7.252 1.523
Zr 4.138 2.417 1.523
Zr 4.138 7.252 1.523
Tc 0.000 4.834 0.000
Tc 3.108 0.000 0.000

Entry B
8
Lattice="4.359 0.000 0.000 0.000 4.359 0.000 0.000 0.000 9.822" Properties=species:S:1:pos:R:3 comment="PBE BaZr2Tc, optimized geometry" space_group="I-4m2, No. 119" density_g_cm3=7.433 pbc="T T T"
Ba 0.000 0.000 0.000
Ba 2.180 2.180 4.911
Zr 0.000 0.000 4.911
Zr 0.000 2.180 2.456
Zr 2.180 0.000 7.367
Zr 2.180 2.180 0.000
Tc 0.000 2.180 7.367
Tc 2.180 0.000 2.456

Unit: meV per atom. Relative energies: entry A 0; entry B 58.